Density functional theory data (PBE) for crystalline HfZnCoBi at its relaxed geometry.

Energy above the lowest structure with this stoichiometry: 0 meV/atom
SG: F-43m, No. 216

a b c (Å): 6.623 6.623 6.623
angles (deg): 90.00 90.00 90.00
Element x y z (fractional)
1 Hf 0.000 0.000 0.000
2 Hf 0.000 0.500 0.500
3 Hf 0.500 0.000 0.500
4 Hf 0.500 0.500 0.000
5 Zn 0.250 0.250 0.250
6 Zn 0.250 0.750 0.750
7 Zn 0.750 0.250 0.750
8 Zn 0.750 0.750 0.250
9 Co 0.250 0.250 0.750
10 Co 0.250 0.750 0.250
11 Co 0.750 0.250 0.250
12 Co 0.750 0.750 0.750
13 Bi 0.000 0.000 0.500
14 Bi 0.000 0.500 0.000
15 Bi 0.500 0.000 0.000
16 Bi 0.500 0.500 0.500